# Ca2CuNi

An optimized crystal structure of Ca2CuNi (GGA-PBE, Alexandria via LeMat-Bulk).

Cell: 7.4616 7.4616 7.4616 Å, 31.93 31.93 31.93°
Closest atoms and distances in Å follow each position.
Fractional positions:
Ca 0.0380 0.0380 0.0380  3 Cu 3.00, 3 Ni 3.01
Ca 0.2120 0.2120 0.2120  3 Ni 3.00, 3 Cu 3.01
Ni 0.7921 0.7921 0.7921  3 Cu 2.37
Cu 0.4579 0.4579 0.4579  3 Ni 2.37

- E_form (meV/atom) = -133.2
- mass density (Mg/m³) = 3.255
- VASP energy (eV/atom) = -3.60
- N(E_F) (states/eV/cell) = 2.181
- total moment (μB per formula unit) = 0.00

# Ca8CuNi2

An optimized crystal structure of Ca8CuNi2 (GGA-PBE, Alexandria via LeMat-Bulk).

Cell: 5.9521 8.7059 8.7125 Å, 120.03 90.00 90.01°
Closest atoms and distances in Å follow each position.
Fractional positions:
Ca 0.7545 0.3332 0.6666  2 Ni 2.96-2.99
Ca 0.2513 0.1615 0.8413  1 Ni 2.61, 1 Cu 2.84
Ca 0.7487 0.8410 0.6798  1 Ni 2.61, 1 Cu 2.84
Ca 0.7486 0.3202 0.1614  1 Ni 2.61, 1 Cu 2.84
Ca 0.2514 0.6798 0.8387  1 Ni 2.61, 1 Cu 2.84
Ca 0.7486 0.8386 0.1587  1 Ni 2.61, 1 Cu 2.84
Ca 0.2513 0.1590 0.3201  1 Ni 2.61, 1 Cu 2.84
Ca 0.2455 0.6668 0.3334  2 Ni 2.96-2.99
Ni 0.2565 0.3331 0.6666  3 Ca 2.61
Ni 0.7435 0.6669 0.3334  3 Ca 2.61
Cu 0.0000 0.0000 0.0000  6 Ca 2.84

- E_form (meV/atom) = 140.9
- mass density (Mg/m³) = 2.131
- VASP energy (eV/atom) = -2.74
- N(E_F) (states/eV/cell) = 6.565
- total moment (μB per formula unit) = 0.00

# CaCu8Ni4

An optimized crystal structure of CaCu8Ni4 (GGA-PBE, Alexandria via LeMat-Bulk).

Cell: 4.8175 6.3884 6.3884 Å, 81.83 67.85 67.85°
Closest atoms and distances in Å follow each position.
Fractional positions:
Ni 0.0000 0.5000 0.0000  2 Ni 2.41, 8 Cu 2.42-2.56
Ni 0.5000 0.5000 0.0000  2 Ni 2.41, 8 Cu 2.42-2.56
Ni 0.0000 0.0000 0.5000  2 Ni 2.41, 8 Cu 2.42-2.56
Ni 0.5000 0.0000 0.5000  2 Ni 2.41, 8 Cu 2.42-2.56
Cu 0.7259 0.7741 0.7741  4 Ni 2.42, 6 Cu 2.61-2.67
Cu 0.0000 0.3512 0.6488  5 Cu 2.49-2.63, 4 Ni 2.56
Cu 0.5000 0.2259 0.7741  4 Ni 2.42, 6 Cu 2.61-2.67
Cu 0.2741 0.2259 0.2259  4 Ni 2.42, 6 Cu 2.61-2.67
Cu 0.6488 0.3512 0.3512  5 Cu 2.49-2.63, 4 Ni 2.56
Cu 0.5000 0.7741 0.2259  4 Ni 2.42, 6 Cu 2.61-2.67
Cu 0.3512 0.6488 0.6488  5 Cu 2.49-2.63, 4 Ni 2.56
Cu 0.0000 0.6488 0.3512  5 Cu 2.49-2.63, 4 Ni 2.56
Ca 0.0000 0.0000 0.0000  12 Cu 2.94-3.06, 8 Ni 3.19

- E_form (meV/atom) = -49.2
- mass density (Mg/m³) = 7.711
- VASP energy (eV/atom) = -4.50
- N(E_F) (states/eV/cell) = 9.401
- total moment (μB per formula unit) = 0.00

# CaCu7Ni5

An optimized crystal structure of CaCu7Ni5 (GGA-PBE, Alexandria via LeMat-Bulk).

Cell: 4.7927 6.3734 6.3734 Å, 81.69 67.91 67.91°
Closest atoms and distances in Å follow each position.
Fractional positions:
Cu 0.3513 0.6487 0.6487  3 Cu 2.49-2.62, 6 Ni 2.53-2.60
Cu 0.2736 0.2264 0.2264  4 Ni 2.43, 6 Cu 2.60-2.65
Cu 0.4997 0.7775 0.2232  5 Ni 2.42-2.68, 5 Cu 2.62-2.65
Cu 0.4997 0.2232 0.7775  5 Ni 2.42-2.68, 5 Cu 2.62-2.65
Cu 0.9993 0.3532 0.6482  4 Cu 2.46-2.63, 5 Ni 2.55-2.57
Cu 0.6490 0.3510 0.3510  5 Cu 2.49-2.63, 4 Ni 2.56
Cu 0.9993 0.6482 0.3532  4 Cu 2.46-2.63, 5 Ni 2.55-2.57
Ni 0.9996 0.5033 0.9986  3 Ni 2.39-2.40, 7 Cu 2.42-2.56
Ni 0.7303 0.7697 0.7697  4 Ni 2.39, 6 Cu 2.57-2.68
Ni 0.9996 0.9986 0.5033  3 Ni 2.39-2.40, 7 Cu 2.42-2.56
Ni 0.4985 0.9986 0.5033  3 Ni 2.39-2.40, 7 Cu 2.42-2.56
Ni 0.4985 0.5033 0.9986  3 Ni 2.39-2.40, 7 Cu 2.42-2.56
Ca 0.0017 0.9983 0.9983  10 Cu 2.92-3.06, 10 Ni 3.07-3.22

- E_form (meV/atom) = -47.1
- mass density (Mg/m³) = 7.732
- VASP energy (eV/atom) = -4.63
- N(E_F) (states/eV/cell) = 9.572
- total moment (μB per formula unit) = 0.00